# 1
Compound: MnPtW
Source: Alexandria
Functional: SCAN
Structure: single point on PBEsol structure

Summary:
ΔE to the lowest computed polymorph ... 0.0 meV per atom
Symmetry ... Imm2
Formation energy from the elements ... -0.71 eV per formula unit

```
data_MnPtW
_chemical_formula_sum 'Mn1 Pt1 W1'
_space_group_name_H-M_alt 'P 1'
_space_group_IT_number 1
_space_group_name_Hall 'P 1'
_cell_length_a 4.748
_cell_length_b 4.748
_cell_length_c 4.748
_cell_angle_alpha 147.15
_cell_angle_beta 133.15
_cell_angle_gamma 58.40
loop_
_atom_site_label
_atom_site_fract_x
_atom_site_fract_y
_atom_site_fract_z
_atom_site_occupancy
Mn1 0.000 0.000 0.000 1
Pt1 0.666 0.666 0.000 1
W1 0.341 0.341 0.000 1
```

***

# 2
Compound: Mn4PtW
Source: Alexandria
Functional: SCAN
Structure: single point on PBEsol structure

Summary:
Symmetry ... F-43m
Formation energy from the elements ... -0.21 eV per formula unit

```
data_Mn4PtW
_chemical_formula_sum 'Mn4 Pt1 W1'
_space_group_name_H-M_alt 'P 1'
_space_group_IT_number 1
_space_group_name_Hall 'P 1'
_cell_length_a 4.658
_cell_length_b 4.658
_cell_length_c 4.658
_cell_angle_alpha 60.00
_cell_angle_beta 60.00
_cell_angle_gamma 60.00
loop_
_atom_site_label
_atom_site_fract_x
_atom_site_fract_y
_atom_site_fract_z
_atom_site_occupancy
Mn1 0.123 0.123 0.123 1
Mn2 0.123 0.123 0.632 1
Mn3 0.123 0.632 0.123 1
Mn4 0.632 0.123 0.123 1
Pt1 0.750 0.750 0.750 1
W1 0.500 0.500 0.500 1
```

***

# 3
Compound: MnPtW
Source: Alexandria
Functional: SCAN
Structure: single point on PBEsol structure

Summary:
ΔE to the lowest computed polymorph ... 167.2 meV per atom
Symmetry ... P3m1
Formation energy from the elements ... -0.21 eV per formula unit

```
data_MnPtW
_chemical_formula_sum 'Mn1 Pt1 W1'
_space_group_name_H-M_alt 'P 1'
_space_group_IT_number 1
_space_group_name_Hall 'P 1'
_cell_length_a 4.274
_cell_length_b 4.274
_cell_length_c 2.661
_cell_angle_alpha 90.00
_cell_angle_beta 90.00
_cell_angle_gamma 120.00
loop_
_atom_site_label
_atom_site_fract_x
_atom_site_fract_y
_atom_site_fract_z
_atom_site_occupancy
Mn1 0.000 0.000 0.000 1
Pt1 0.333 0.667 0.406 1
W1 0.667 0.333 0.854 1
```